[1]
! Ca2YGaPb GGA-PBE relaxed; values from VASP
&SYSTEM
  ibrav = 0, nat = 5, ntyp = 4
/
ATOMIC_SPECIES
Y 88.91 Y.upf
Ca 40.08 Ca.upf
Pb 207.20 Pb.upf
Ga 69.72 Ga.upf
CELL_PARAMETERS angstrom
-2.211 -5.103 1.942
4.336 -0.393 3.902
-3.275 2.916 3.934
ATOMIC_POSITIONS angstrom
Y 2.168 -0.197 1.951
Ca -1.105 -2.552 0.971
Pb 0.000 0.000 0.000
Ca -1.638 1.458 1.967
Ga -0.575 -1.290 4.889
! E (eV per cell): -16.4
! Energy of formation from the pure elements (eV/atom): 0.163
! Space group: P4/mmm (123)
! Volume (Å³ per cell): 203
! Magnetization (μB/f.u.): 0.00
! DOS at the Fermi energy (states/eV/f.u.): 6.69

[2]
! CaZnGaPb GGA-PBE relaxed; values from VASP
&SYSTEM
  ibrav = 0, nat = 4, ntyp = 4
/
ATOMIC_SPECIES
Ca 40.08 Ca.upf
Pb 207.20 Pb.upf
Ga 69.72 Ga.upf
Zn 65.41 Zn.upf
CELL_PARAMETERS angstrom
-0.266 4.109 -3.143
-4.121 0.649 -3.071
-3.388 3.795 0.979
ATOMIC_POSITIONS angstrom
Ca 0.000 0.000 0.000
Pb -3.887 4.276 -2.618
Ga -5.830 6.415 -3.927
Zn -1.943 2.138 -1.309
! E (eV per cell): -10.6
! Energy of formation from the pure elements (eV/atom): -0.138
! Space group: F-43m (216)
! Volume (Å³ per cell): 98
! Magnetization (μB/f.u.): 0.00
! DOS at the Fermi energy (states/eV/f.u.): 4.05

[3]
! Ca2Ga4Pd5 GGA-PBE relaxed; values from VASP
&SYSTEM
  ibrav = 0, nat = 11, ntyp = 3
/
ATOMIC_SPECIES
Pd 106.42 Pd.upf
Ga 69.72 Ga.upf
Ca 40.08 Ca.upf
CELL_PARAMETERS angstrom
5.719 0.000 0.000
2.860 4.835 0.000
2.860 0.000 7.680
ATOMIC_POSITIONS angstrom
Pd 4.289 2.418 3.840
Pd 1.430 2.418 0.000
Pd 4.289 2.418 0.000
Ga 2.860 1.504 1.999
Ca 2.860 0.000 5.730
Pd 2.860 0.000 0.000
Ga 8.579 3.331 5.681
Ca 5.719 0.000 1.950
Ga 5.719 1.504 5.681
Pd 7.149 2.418 3.840
Ga 5.719 3.331 1.999
! E (eV per cell): -50.0
! Energy of formation from the pure elements (eV/atom): -0.721
! Space group: Fmmm (69)
! Volume (Å³ per cell): 212
! Magnetization (μB/f.u.): 0.00
! DOS at the Fermi energy (states/eV/f.u.): 5.61

[4]
! Ca2GaPd GGA-PBE relaxed; values from VASP
&SYSTEM
  ibrav = 0, nat = 4, ntyp = 3
/
ATOMIC_SPECIES
Ca 40.08 Ca.upf
Pd 106.42 Pd.upf
Ga 69.72 Ga.upf
CELL_PARAMETERS angstrom
-0.637 -2.405 -2.635
2.951 -1.860 0.984
-3.939 -3.875 4.488
ATOMIC_POSITIONS angstrom
Ca -2.992 -2.944 3.409
Pd 1.157 -2.132 -0.826
Ca -0.947 -0.931 1.079
Ga -0.813 -4.070 1.418
! E (eV per cell): -14.4
! Energy of formation from the pure elements (eV/atom): -0.541
! Space group: P4/mmm (123)
! Volume (Å³ per cell): 93
! Magnetization (μB/f.u.): 0.00
! DOS at the Fermi energy (states/eV/f.u.): 2.26

[5]
! Ca2Ga6Pd GGA-PBE relaxed; values from VASP
&SYSTEM
  ibrav = 0, nat = 9, ntyp = 3
/
ATOMIC_SPECIES
Ga 69.72 Ga.upf
Ca 40.08 Ca.upf
Pd 106.42 Pd.upf
CELL_PARAMETERS angstrom
5.972 0.000 0.000
-2.986 5.052 1.229
0.000 0.302 5.983
ATOMIC_POSITIONS angstrom
Ga 0.000 1.317 2.223
Ga 4.325 1.556 4.344
Ga -1.339 3.798 2.868
Ga 1.339 3.798 2.868
Ca 0.000 3.835 5.919
Ga 2.986 4.037 4.989
Ga 1.647 1.556 4.344
Ca 2.986 1.519 1.293
Pd 0.000 0.000 0.000
! E (eV per cell): -31.7
! Energy of formation from the pure elements (eV/atom): -0.485
! Space group: C2/m (12)
! Volume (Å³ per cell): 178
! Magnetization (μB/f.u.): 0.00
! DOS at the Fermi energy (states/eV/f.u.): 3.12
! ΔE to the lowest computed polymorph (meV/atom): 12

[6]
! Ca6GaPd3 GGA-PBE relaxed; values from VASP
&SYSTEM
  ibrav = 0, nat = 20, ntyp = 3
/
ATOMIC_SPECIES
Ca 40.08 Ca.upf
Ga 69.72 Ga.upf
Pd 106.42 Pd.upf
CELL_PARAMETERS angstrom
4.323 0.000 0.000
0.000 10.026 -3.988
0.000 0.124 12.933
ATOMIC_POSITIONS angstrom
Ca 1.081 5.282 2.976
Ga 1.081 9.187 0.078
Ca 3.242 1.133 5.139
Ga 3.242 0.963 8.866
Ca 3.242 4.288 -0.538
Pd 1.081 9.199 8.904
Ca 3.242 8.456 -2.105
Ca 3.242 7.470 1.254
Pd 1.081 3.093 4.802
Ca 1.081 9.016 3.805
Pd 3.242 7.056 4.143
Pd 1.081 6.534 -0.487
Ca 1.081 5.862 9.483
Ca 1.081 2.680 7.691
Ca 3.242 8.559 7.007
Pd 3.242 3.616 9.431
Ca 1.081 1.693 11.050
Pd 3.242 0.950 0.040
Ca 1.081 1.590 1.938
Ca 3.242 4.867 5.968
! E (eV per cell): -71.2
! Energy of formation from the pure elements (eV/atom): -0.498
! Space group: P2_1/m (11)
! Volume (Å³ per cell): 563
! Magnetization (μB/f.u.): 0.00
! DOS at the Fermi energy (states/eV/f.u.): 5.59